(1)
# CrFe2Tc

A geometry-optimized CrFe2Tc structure (PBE, Alexandria).

```
CrFe2Tc
1.0
2.5413 0.0009 0.0000
-0.8167 2.4065 0.0000
0.0000 0.0000 8.1726
Cr Tc Fe
1 1 2
direct
0.5000 0.5000 0.7596
0.0000 0.0000 0.5029
0.0000 0.0000 0.9981
0.5000 0.5000 0.2395
```

Values from the calculation:
**Crystal system**: orthorhombic
**D(E_F)**: 0.929 states/eV per atom
**Spin magnetization**: 1.168 μB per atom
**ΔH_f (0 K)**: 0.10 eV per atom
**DFT total energy**: -9.133 eV per atom


(2)
# Pm5PrNdDy2

A geometry-optimized Pm5PrNdDy2 structure (PBE, Alexandria).

```
Pm5PrNdDy2
1.0
5.7241 0.0000 0.0000
-2.8621 10.2037 0.0000
0.0000 0.0000 10.6932
Pm Pr Nd Dy
10 2 2 4
direct
0.3915 0.7831 0.0261
0.7195 0.4389 0.8108
0.4772 0.9543 0.7393
0.2971 0.5941 0.7064
0.9833 0.9666 0.5247
0.6085 0.2169 0.5261
0.2805 0.5611 0.3108
0.5228 0.0457 0.2393
0.7029 0.4059 0.2064
0.0167 0.0334 0.0247
0.5857 0.1714 0.9491
0.4143 0.8286 0.4491
0.7986 0.5971 0.5112
0.2014 0.4029 0.0112
0.8833 0.7665 0.8239
0.1125 0.2250 0.7324
0.1167 0.2335 0.3239
0.8875 0.7750 0.2324
```

Values from the calculation:
**Crystal system**: orthorhombic
**D(E_F)**: 1.538 states/eV per atom
**Spin magnetization**: 0.000 μB per atom
**ΔH_f (0 K)**: 0.15 eV per atom
**DFT total energy**: -4.576 eV per atom